Record 1
LiCeLuTl | PBE | optimized geometry

Results
Mass density = 8.2 g/cm3
Calculated formation energy = -0.3 eV/f.u.
E = -14.99 eV per cell
DOS(E_F) = 10.34 states/eV/cell
Space group = F-43m
Magnetization = 1.28 μB per formula unit

Cell: 5.3150 5.3150 5.3150 Å, 60.00 60.00 60.00°
Sites, in units of the cell vectors:
Li1 0.0000 0.0000 0.0000
Ce1 0.2500 0.2500 0.2500
Lu1 0.7500 0.7500 0.7500
Tl1 0.5000 0.5000 0.5000

Record 2
RuPt3Rh2 | PBE | optimized geometry

Results
Energy relative to the lowest polymorph listed for this composition = 0 kJ/mol of formula units
Mass density = 16.6 g/cm3
Calculated formation energy = -0.1 eV/f.u.
E = -84.34 eV per cell
DOS(E_F) = 16.55 states/eV/cell
Space group = P2_1/m
Magnetization = 0.00 μB per formula unit

Cell: 5.5465 3.8833 8.2709 Å, 90.00 90.02 90.00°
Sites, in units of the cell vectors:
Ru1 0.1230 0.2500 0.2464
Ru2 0.8770 0.7500 0.7536
Pt1 0.1229 0.2500 0.5827
Pt2 0.3718 0.7500 0.0873
Pt3 0.3723 0.7500 0.7475
Pt4 0.6277 0.2500 0.2525
Pt5 0.6282 0.2500 0.9127
Pt6 0.8771 0.7500 0.4173
Rh1 0.1183 0.2500 0.9195
Rh2 0.3711 0.7500 0.4134
Rh3 0.6289 0.2500 0.5866
Rh4 0.8817 0.7500 0.0805